Record 1
Entry from Alexandria: an optimized crystal structure of InPb5 (GGA-PBE).

Cell lengths 3.620, 6.127, 9.604 Å; angles 113.10, 90.00, 107.18 degrees
Positions (direct):
Pb 0.364 0.728 0.219
In 0.028 0.056 0.056
Pb 0.028 0.055 0.555
Pb 0.694 0.389 0.384
Pb 0.361 0.722 0.727
Pb 0.691 0.383 0.892

Results
space-group type	No. 12
Fermi-level density of states	2.421	states/eV/cell
ΔE_f	0.01	eV per atom

***

Record 2
Entry from Alexandria: an optimized crystal structure of CoHRu2Rh (GGA-PBE).

Cell lengths 3.814, 3.814, 3.782 Å; angles 90.00, 90.00, 90.00 degrees
Positions (direct):
Rh 0.500 0.500 0.500
Ru 0.000 0.500 0.000
Co 0.000 0.000 0.500
H 0.000 0.000 0.000
Ru 0.500 0.000 0.000

Results
space-group type	No. 123
Fermi-level density of states	6.197	states/eV/cell

***

| no. | polymorph energy (0 for the lowest one) (meV per atom) | total magnetization (Bohr magnetons per cell) | volume (A^3/atom) |
| --- | --- | --- | --- |
| 1 | 7.3 | 0.00 | 30.9 |
| 2 | 0.0 | 0.00 | 11.0 |